Below is crystalline NiIrCO5 at its relaxed geometry, with properties calculated at the PBE with a Hubbard U level.

Unit cell a=6.1112 b=8.7477 c=6.0602 alpha=90.00 beta=90.89 gamma=90.00
Space group C2/c (No. 15)
Asymmetric unit:
Ni  0.0000  0.0000  0.0000
Ir  0.0000  0.3459  0.2500
C  0.0000  0.2637  0.7500
O  0.0000  0.1297  0.2500
O  0.0314  0.3603  0.9230
O  0.1723  0.1457  0.7240

Values from the calculation:
The volume is 323.93 Å³/cell. The total energy is -6.3838 eV/atom.